First-principles (GGA-PBE) data for a relaxed structure of TbGdDyMg, as listed in the Alexandria database.

a = 7.799 Å, b = 7.799 Å, c = 7.799 Å
α = 90.00°, β = 90.00°, γ = 90.00°
Space group F-43m (No. 216)
Inequivalent atoms, fractional coordinates:
1 Tb 0.000 0.000 0.000 [4 per cell]
2 Gd 0.000 0.000 0.500 [4 per cell]
3 Dy 0.250 0.250 0.250 [4 per cell]
4 Mg 0.250 0.250 0.750 [4 per cell]

Results
magnetic moment: 7.60 μB per formula unit
crystal system: cubic
total DFT energy (no corrections): -6.187 eV per atom
Fermi-level density of states: 19.64 states/eV/cell

=====

First-principles (GGA-PBE) data for a relaxed structure of GdDyTmMg, as listed in the Alexandria database.

a = 7.752 Å, b = 7.752 Å, c = 7.752 Å
α = 90.00°, β = 90.00°, γ = 90.00°
Space group F-43m (No. 216)
Inequivalent atoms, fractional coordinates:
1 Gd 0.000 0.000 0.000 [4 per cell]
2 Dy 0.000 0.000 0.500 [4 per cell]
3 Tm 0.250 0.250 0.750 [4 per cell]
4 Mg 0.250 0.250 0.250 [4 per cell]

Results
magnetic moment: 7.39 μB per formula unit
crystal system: cubic
total DFT energy (no corrections): -6.159 eV per atom
Fermi-level density of states: 18.34 states/eV/cell

=====

First-principles (GGA-PBE) data for a relaxed structure of GdDyYMg, as listed in the Alexandria database.

a = 7.808 Å, b = 7.808 Å, c = 7.808 Å
α = 90.00°, β = 90.00°, γ = 90.00°
Space group F-43m (No. 216)
Inequivalent atoms, fractional coordinates:
1 Gd 0.000 0.000 0.000 [4 per cell]
2 Dy 0.250 0.250 0.250 [4 per cell]
3 Y 0.000 0.000 0.500 [4 per cell]
4 Mg 0.250 0.250 0.750 [4 per cell]

Results
magnetic moment: 7.64 μB per formula unit
crystal system: cubic
total DFT energy (no corrections): -6.644 eV per atom
Fermi-level density of states: 20.48 states/eV/cell